Version a
The following is a GGA-PBEsol calculation of MnCu2Os after structural relaxation, from Alexandria via LeMat-Bulk.

a = 2.5188 Å, b = 4.6199 Å, c = 5.0087 Å
α = 115.80°, β = 101.77°, γ = 95.91°
Last column: nearest neighbours and their distance in Å.
Positions (direct):
Cu: 0.0000 0.0000 0.5000  6 Cu 2.51-2.74, 2 Os 2.56, 2 Mn 2.56
Cu: 0.5000 0.5000 0.5000  6 Cu 2.51-2.74, 2 Mn 2.56, 2 Os 2.56
Os: 0.0000 0.5000 0.0000  4 Mn 2.51-2.74, 2 Os 2.52, 4 Cu 2.56
Mn: 0.5000 0.0000 0.0000  4 Os 2.51-2.74, 2 Mn 2.52, 4 Cu 2.56

Properties
* size of the total moment: 3.36 Bohr magnetons per cell

Version b
The following is a GGA-PBEsol calculation of MnCu2Os after structural relaxation, from Alexandria via LeMat-Bulk.

a = 2.7508 Å, b = 4.2014 Å, c = 4.3005 Å
α = 90.00°, β = 90.00°, γ = 90.00°
Last column: nearest neighbours and their distance in Å.
Positions (direct):
Cu: 0.5000 0.5000 0.0000  6 Cu 2.51-2.75, 4 Os 2.55
Cu: 0.0000 0.0000 0.0000  6 Cu 2.51-2.75, 4 Mn 2.55
Mn: 0.5000 0.0000 0.5000  4 Os 2.51, 4 Cu 2.55, 2 Mn 2.75
Os: 0.0000 0.5000 0.5000  4 Mn 2.51, 4 Cu 2.55, 2 Os 2.75

Properties
* size of the total moment: 3.04 Bohr magnetons per cell

Version c
The following is a GGA-PBEsol calculation of MnCu2Os after structural relaxation, from Alexandria via LeMat-Bulk.

a = 3.6779 Å, b = 3.6779 Å, c = 4.4042 Å
α = 114.68°, β = 114.68°, γ = 90.00°
Last column: nearest neighbours and their distance in Å.
Positions (direct):
Cu: 0.7500 0.2500 0.5000  4 Mn 2.56, 4 Cu 2.56, 4 Os 2.60
Cu: 0.0000 0.0000 0.0000  4 Os 2.56, 4 Cu 2.56, 4 Mn 2.60
Os: 0.2500 0.7500 0.5000  4 Mn 2.56, 8 Cu 2.56-2.60
Mn: 0.5000 0.5000 0.0000  4 Os 2.56, 8 Cu 2.56-2.60

Properties
* size of the total moment: 2.08 Bohr magnetons per cell

Quick ranking, most stable first: version c, version b, version a.

Version a
The following is a GGA-PBEsol calculation of MnCuRe2 after structural relaxation, from Alexandria via LeMat-Bulk.

a = 2.6436 Å, b = 2.6436 Å, c = 7.3371 Å
α = 90.00°, β = 90.00°, γ = 90.00°
Last column: nearest neighbours and their distance in Å.
Positions (direct):
Cu: 0.5000 0.5000 0.0000  4 Cu 2.64, 8 Re 2.67
Mn: 0.5000 0.5000 0.5000  8 Re 2.57, 4 Mn 2.64
Re: 0.0000 0.0000 0.7396  4 Mn 2.57, 4 Re 2.64, 4 Cu 2.67
Re: 0.0000 0.0000 0.2604  4 Mn 2.57, 4 Re 2.64, 4 Cu 2.67

Properties
* size of the total moment: 0.00 Bohr magnetons per cell

Version b
The following is a GGA-PBEsol calculation of MnCuRe2 after structural relaxation, from Alexandria via LeMat-Bulk.

a = 2.5742 Å, b = 2.5742 Å, c = 8.2018 Å
α = 90.00°, β = 90.00°, γ = 104.37°
Last column: nearest neighbours and their distance in Å.
Positions (direct):
Re: 0.0000 0.0000 0.2443  4 Mn 2.55-2.85, 4 Re 2.57, 2 Cu 2.62
Re: 0.0000 0.0000 0.7557  4 Mn 2.55-2.85, 4 Re 2.57, 2 Cu 2.62
Mn: 0.5000 0.5000 0.0000  8 Re 2.55-2.85, 4 Mn 2.57
Cu: 0.5000 0.5000 0.5000  4 Cu 2.57, 4 Re 2.62

Properties
* size of the total moment: 1.85 Bohr magnetons per cell

Quick ranking, most stable first: version a, version b.

Version a
The following is a GGA-PBEsol calculation of MnCuSe after structural relaxation, from Alexandria via LeMat-Bulk.

a = 3.7553 Å, b = 3.7553 Å, c = 3.9291 Å
α = 90.00°, β = 90.00°, γ = 120.00°
Last column: nearest neighbours and their distance in Å.
Positions (direct):
Mn: 0.3333 0.6667 0.6733  3 Cu 2.56, 3 Se 2.61
Cu: 0.0000 0.0000 0.0216  3 Se 2.44, 3 Mn 2.56
Se: 0.6667 0.3333 0.3050  3 Cu 2.44, 3 Mn 2.61

Properties
* size of the total moment: 4.15 Bohr magnetons per cell

Version b
The following is a GGA-PBEsol calculation of MnCuSe after structural relaxation, from Alexandria via LeMat-Bulk.

a = 4.0884 Å, b = 4.0884 Å, c = 4.0884 Å
α = 60.00°, β = 60.00°, γ = 60.00°
Last column: nearest neighbours and their distance in Å.
Positions (direct):
Se: 0.0000 0.0000 0.0000  4 Mn 2.50
Mn: 0.2500 0.2500 0.2500  4 Se 2.50, 4 Cu 2.50
Cu: 0.5000 0.5000 0.5000  4 Mn 2.50

Properties
* size of the total moment: 3.79 Bohr magnetons per cell

Quick ranking, most stable first: version b, version a.

Version a
The following is a GGA-PBEsol calculation of SrMn2Cu after structural relaxation, from Alexandria via LeMat-Bulk.

a = 4.3700 Å, b = 4.0495 Å, c = 4.0495 Å
α = 90.00°, β = 90.00°, γ = 90.00°
Last column: nearest neighbours and their distance in Å.
Positions (direct):
Mn: 0.0000 0.0000 0.5000  4 Mn 2.86, 4 Sr 2.98, 4 Cu 2.98
Mn: 0.0000 0.5000 0.0000  4 Mn 2.86, 4 Cu 2.98, 4 Sr 2.98
Sr: 0.5000 0.5000 0.5000  4 Cu 2.86, 8 Mn 2.98
Cu: 0.5000 0.0000 0.0000  4 Sr 2.86, 8 Mn 2.98

Properties
* size of the total moment: 6.83 Bohr magnetons per cell

Version b
The following is a GGA-PBEsol calculation of SrMn2Cu after structural relaxation, from Alexandria via LeMat-Bulk.

a = 2.9886 Å, b = 4.0509 Å, c = 6.4847 Å
α = 90.00°, β = 102.73°, γ = 90.00°
Last column: nearest neighbours and their distance in Å.
Positions (direct):
Mn: 0.1196 0.0000 0.3305  1 Mn 2.46, 2 Cu 2.46
Mn: 0.8804 0.0000 0.6695  1 Mn 2.46, 2 Cu 2.46
Sr: 0.5000 0.5000 0.0000  2 Sr 2.99, 8 Mn 3.22-3.33, 2 Cu 3.24
Cu: 0.5000 0.5000 0.5000  4 Mn 2.46

Properties
* size of the total moment: 7.50 Bohr magnetons per cell

Quick ranking, most stable first: version b, version a.

Version a
The following is a GGA-PBEsol calculation of MnTl2Cu after structural relaxation, from Alexandria via LeMat-Bulk.

a = 4.7306 Å, b = 4.7306 Å, c = 4.7306 Å
α = 60.00°, β = 60.00°, γ = 60.00°
Last column: nearest neighbours and their distance in Å.
Positions (direct):
Tl: 0.7500 0.7500 0.7500  4 Cu 2.90, 4 Mn 2.90
Tl: 0.2500 0.2500 0.2500  4 Mn 2.90, 4 Cu 2.90
Mn: 0.5000 0.5000 0.5000  8 Tl 2.90
Cu: 0.0000 0.0000 0.0000  8 Tl 2.90

Properties
* size of the total moment: 3.99 Bohr magnetons per cell

Version b
The following is a GGA-PBEsol calculation of MnTl2Cu after structural relaxation, from Alexandria via LeMat-Bulk.

a = 3.4610 Å, b = 4.2794 Å, c = 5.3440 Å
α = 90.00°, β = 105.44°, γ = 90.00°
Last column: nearest neighbours and their distance in Å.
Positions (direct):
Mn: 0.4348 0.5000 0.7701  2 Cu 2.61, 7 Tl 2.85-2.89
Tl: 0.7495 0.5000 0.3204  3 Mn 2.85-2.89, 4 Cu 2.86-2.88
Tl: 0.0050 0.0000 0.9287  3 Cu 2.86-2.91, 4 Mn 2.86-2.88
Cu: 0.3107 0.0000 0.4808  2 Mn 2.61, 7 Tl 2.86-2.91

Properties
* size of the total moment: 3.62 Bohr magnetons per cell

Quick ranking, most stable first: version b, version a.

Version a
The following is a GGA-PBEsol calculation of Mn2CuW after structural relaxation, from Alexandria via LeMat-Bulk.

a = 2.6148 Å, b = 2.6148 Å, c = 7.5142 Å
α = 90.00°, β = 90.00°, γ = 90.00°
Last column: nearest neighbours and their distance in Å.
Positions (direct):
Mn: 0.0000 0.0000 0.7332  4 Cu 2.55, 4 Mn 2.61, 4 W 2.73
Mn: 0.0000 0.0000 0.2668  4 Cu 2.55, 4 Mn 2.61, 4 W 2.73
Cu: 0.5000 0.5000 0.5000  8 Mn 2.55, 4 Cu 2.61
W: 0.5000 0.5000 0.0000  4 W 2.61, 8 Mn 2.73

Properties
* size of the total moment: 5.12 Bohr magnetons per cell

Version b
The following is a GGA-PBEsol calculation of Mn2CuW after structural relaxation, from Alexandria via LeMat-Bulk.

a = 2.6094 Å, b = 2.6094 Å, c = 8.7224 Å
α = 81.40°, β = 81.40°, γ = 60.00°
Last column: nearest neighbours and their distance in Å.
Positions (direct):
Mn: 0.7469 0.7469 0.7593  3 Cu 2.56, 6 Mn 2.61, 3 W 2.69
Mn: 0.2531 0.2531 0.2407  3 Cu 2.56, 6 Mn 2.61, 3 W 2.69
Cu: 0.0000 0.0000 0.0000  6 Mn 2.56, 6 Cu 2.61
W: 0.5000 0.5000 0.5000  6 W 2.61, 6 Mn 2.69

Properties
* size of the total moment: 3.43 Bohr magnetons per cell

Version c
The following is a GGA-PBEsol calculation of Mn2CuW after structural relaxation, from Alexandria via LeMat-Bulk.

a = 4.1011 Å, b = 4.1043 Å, c = 4.1011 Å
α = 60.03°, β = 90.00°, γ = 119.97°
Last column: nearest neighbours and their distance in Å.
Positions (direct):
W: 0.0000 0.0000 0.0000  8 Mn 2.51
Mn: 0.2500 0.5000 0.2500  4 Cu 2.51, 4 W 2.51
Mn: 0.7500 0.5000 0.7500  4 W 2.51, 4 Cu 2.51
Cu: 0.5000 0.0000 0.5000  8 Mn 2.51

Properties
* size of the total moment: 2.90 Bohr magnetons per cell

Quick ranking, most stable first: version c, version a, version b.

Version a
The following is a GGA-PBEsol calculation of CuNiMo3 after structural relaxation, from Alexandria via LeMat-Bulk.

a = 4.3827 Å, b = 4.3827 Å, c = 4.3827 Å
α = 90.00°, β = 90.00°, γ = 90.00°
Last column: nearest neighbours and their distance in Å.
Positions (direct):
Cu: 0.5000 0.5000 0.5000  12 Mo 3.10
Mo: 0.5000 0.0000 0.0000  2 Ni 2.19
Mo: 0.0000 0.0000 0.5000  2 Ni 2.19
Mo: 0.0000 0.5000 0.0000  2 Ni 2.19
Ni: 0.0000 0.0000 0.0000  6 Mo 2.19

Properties
* size of the total moment: 0.00 Bohr magnetons per cell

Version b
The following is a GGA-PBEsol calculation of CuNiMo3 after structural relaxation, from Alexandria via LeMat-Bulk.

a = 4.3933 Å, b = 4.3933 Å, c = 4.3933 Å
α = 90.00°, β = 90.00°, γ = 90.00°
Last column: nearest neighbours and their distance in Å.
Positions (direct):
Mo: 0.5000 0.0000 0.0000  2 Cu 2.20
Mo: 0.0000 0.5000 0.0000  2 Cu 2.20
Mo: 0.0000 0.0000 0.5000  2 Cu 2.20
Cu: 0.0000 0.0000 0.0000  6 Mo 2.20
Ni: 0.5000 0.5000 0.5000  12 Mo 3.11

Properties
* size of the total moment: 0.36 Bohr magnetons per cell

Quick ranking, most stable first: version a, version b.

Version a
The following is a GGA-PBEsol calculation of CuNiMo after structural relaxation, from Alexandria via LeMat-Bulk.

a = 3.8940 Å, b = 3.8940 Å, c = 3.8940 Å
α = 60.00°, β = 60.00°, γ = 60.00°
Last column: nearest neighbours and their distance in Å.
Positions (direct):
Ni: 0.5000 0.5000 0.5000  4 Cu 2.38
Cu: 0.2500 0.2500 0.2500  4 Mo 2.38, 4 Ni 2.38
Mo: 0.0000 0.0000 0.0000  4 Cu 2.38

Properties
* size of the total moment: 0.00 Bohr magnetons per cell

Version b
The following is a GGA-PBEsol calculation of CuNiMo after structural relaxation, from Alexandria via LeMat-Bulk.

a = 2.4981 Å, b = 4.0993 Å, c = 4.0993 Å
α = 120.00°, β = 90.00°, γ = 90.00°
Last column: nearest neighbours and their distance in Å.
Positions (direct):
Ni: 0.5000 0.6667 0.3333  3 Cu 2.37, 2 Ni 2.50
Mo: 0.0000 0.3333 0.6667  2 Mo 2.50, 6 Cu 2.68, 6 Ni 2.68
Cu: 0.5000 0.0000 0.0000  3 Ni 2.37, 2 Cu 2.50

Properties
* size of the total moment: 0.00 Bohr magnetons per cell

Quick ranking, most stable first: version b, version a.